# 1
# PBE SrP3F, relaxed
# Electronic total energy   -4.00 eV/atom
# M_tot   0.0000 μB per atom
# Energy relative to the elements, uncorrected   -0.04 eV per atom
# Space-group type   No. 221
data_SrP3F
_chemical_formula_sum 'Sr1 P3 F1'
_cell_length_a 4.566
_cell_length_b 4.566
_cell_length_c 4.566
_cell_angle_alpha 90.00
_cell_angle_beta 90.00
_cell_angle_gamma 90.00
_symmetry_space_group_name_H-M 'P 1'
_symmetry_Int_Tables_number 1
loop_
_symmetry_equiv_pos_as_xyz
'x,y,z'
loop_
_atom_site_label
_atom_site_type_symbol
_atom_site_fract_x
_atom_site_fract_y
_atom_site_fract_z
_atom_site_occupancy
Sr1 Sr 0.000 0.000 0.000 1
P1 P 0.000 0.500 0.500 1
P2 P 0.500 0.000 0.500 1
P3 P 0.500 0.500 0.000 1
F1 F 0.500 0.500 0.500 1


# 2
# PBE Sr4PF5, relaxed
# Electronic total energy   -5.24 eV/atom
# M_tot   0.0000 μB per atom
# Energy relative to the elements, uncorrected   -3.09 eV per atom
# Space-group type   No. 71
data_Sr4PF5
_chemical_formula_sum 'Sr4 P1 F5'
_cell_length_a 8.260
_cell_length_b 8.260
_cell_length_c 8.260
_cell_angle_alpha 151.20
_cell_angle_beta 127.34
_cell_angle_gamma 61.12
_symmetry_space_group_name_H-M 'P 1'
_symmetry_Int_Tables_number 1
loop_
_symmetry_equiv_pos_as_xyz
'x,y,z'
loop_
_atom_site_label
_atom_site_type_symbol
_atom_site_fract_x
_atom_site_fract_y
_atom_site_fract_z
_atom_site_occupancy
Sr1 Sr 0.206 0.206 0.000 1
Sr2 Sr 0.268 0.500 0.768 1
Sr3 Sr 0.732 0.500 0.232 1
Sr4 Sr 0.794 0.794 0.000 1
P1 P 0.000 0.000 0.000 1
F1 F 0.051 0.321 0.729 1
F2 F 0.408 0.679 0.729 1
F3 F 0.500 0.000 0.500 1
F4 F 0.592 0.321 0.271 1
F5 F 0.949 0.679 0.271 1


# 3
# PBE Sr2PF, relaxed
# Electronic total energy   -4.54 eV/atom
# Distance to the lowest polymorph of the same formula   169 meV per atom
# M_tot   0.0000 μB per atom
# Energy relative to the elements, uncorrected   -1.88 eV per atom
# Space-group type   No. 122
data_Sr2PF
_chemical_formula_sum 'Sr8 P4 F4'
_cell_length_a 5.988
_cell_length_b 5.988
_cell_length_c 13.602
_cell_angle_alpha 90.00
_cell_angle_beta 90.00
_cell_angle_gamma 90.00
_symmetry_space_group_name_H-M 'P 1'
_symmetry_Int_Tables_number 1
loop_
_symmetry_equiv_pos_as_xyz
'x,y,z'
loop_
_atom_site_label
_atom_site_type_symbol
_atom_site_fract_x
_atom_site_fract_y
_atom_site_fract_z
_atom_site_occupancy
Sr1 Sr 0.209 0.250 0.125 1
Sr2 Sr 0.250 0.709 0.375 1
Sr3 Sr 0.250 0.791 0.875 1
Sr4 Sr 0.291 0.250 0.625 1
Sr5 Sr 0.709 0.750 0.625 1
Sr6 Sr 0.750 0.209 0.875 1
Sr7 Sr 0.750 0.291 0.375 1
Sr8 Sr 0.791 0.750 0.125 1
P1 P 0.000 0.000 0.500 1
P2 P 0.000 0.500 0.750 1
P3 P 0.500 0.000 0.250 1
P4 P 0.500 0.500 0.000 1
F1 F 0.000 0.000 0.000 1
F2 F 0.000 0.500 0.250 1
F3 F 0.500 0.000 0.750 1
F4 F 0.500 0.500 0.500 1


# 4
# PBE SrPF3, relaxed
# Electronic total energy   -4.26 eV/atom
# Distance to the lowest polymorph of the same formula   87 meV per atom
# M_tot   0.0000 μB per atom
# Energy relative to the elements, uncorrected   -1.72 eV per atom
# Space-group type   No. 221
data_SrPF3
_chemical_formula_sum 'Sr1 P1 F3'
_cell_length_a 4.452
_cell_length_b 4.452
_cell_length_c 4.452
_cell_angle_alpha 90.00
_cell_angle_beta 90.00
_cell_angle_gamma 90.00
_symmetry_space_group_name_H-M 'P 1'
_symmetry_Int_Tables_number 1
loop_
_symmetry_equiv_pos_as_xyz
'x,y,z'
loop_
_atom_site_label
_atom_site_type_symbol
_atom_site_fract_x
_atom_site_fract_y
_atom_site_fract_z
_atom_site_occupancy
Sr1 Sr 0.000 0.000 0.000 1
P1 P 0.500 0.500 0.500 1
F1 F 0.000 0.500 0.500 1
F2 F 0.500 0.000 0.500 1
F3 F 0.500 0.500 0.000 1


# 5
# PBE Sr2PF, relaxed
# Electronic total energy   -4.70 eV/atom
# Distance to the lowest polymorph of the same formula   8 meV per atom
# M_tot   0.0000 μB per atom
# Energy relative to the elements, uncorrected   -2.04 eV per atom
# Space-group type   No. 31
data_Sr2PF
_chemical_formula_sum 'Sr4 P2 F2'
_cell_length_a 4.315
_cell_length_b 9.155
_cell_length_c 5.800
_cell_angle_alpha 90.00
_cell_angle_beta 90.00
_cell_angle_gamma 90.00
_symmetry_space_group_name_H-M 'P 1'
_symmetry_Int_Tables_number 1
loop_
_symmetry_equiv_pos_as_xyz
'x,y,z'
loop_
_atom_site_label
_atom_site_type_symbol
_atom_site_fract_x
_atom_site_fract_y
_atom_site_fract_z
_atom_site_occupancy
Sr1 Sr 0.000 0.072 0.000 1
Sr2 Sr 0.000 0.613 0.016 1
Sr3 Sr 0.500 0.387 0.516 1
Sr4 Sr 0.500 0.928 0.500 1
P1 P 0.000 0.158 0.500 1
P2 P 0.500 0.842 0.000 1
F1 F 0.000 0.542 0.426 1
F2 F 0.500 0.458 0.926 1


# 6
# PBE Sr2PF, relaxed
# Electronic total energy   -4.57 eV/atom
# Distance to the lowest polymorph of the same formula   146 meV per atom
# M_tot   0.0000 μB per atom
# Energy relative to the elements, uncorrected   -1.91 eV per atom
# Space-group type   No. 160
data_Sr2PF
_chemical_formula_sum 'Sr6 P3 F3'
_cell_length_a 4.234
_cell_length_b 4.234
_cell_length_c 21.416
_cell_angle_alpha 90.00
_cell_angle_beta 90.00
_cell_angle_gamma 120.00
_symmetry_space_group_name_H-M 'P 1'
_symmetry_Int_Tables_number 1
loop_
_symmetry_equiv_pos_as_xyz
'x,y,z'
loop_
_atom_site_label
_atom_site_type_symbol
_atom_site_fract_x
_atom_site_fract_y
_atom_site_fract_z
_atom_site_occupancy
Sr1 Sr 0.000 0.000 0.000 1
Sr2 Sr 0.000 0.000 0.180 1
Sr3 Sr 0.333 0.667 0.667 1
Sr4 Sr 0.333 0.667 0.847 1
Sr5 Sr 0.667 0.333 0.333 1
Sr6 Sr 0.667 0.333 0.514 1
P1 P 0.000 0.000 0.586 1
P2 P 0.333 0.667 0.253 1
P3 P 0.667 0.333 0.919 1
F1 F 0.000 0.000 0.400 1
F2 F 0.333 0.667 0.067 1
F3 F 0.667 0.333 0.733 1


# 7
# PBE Sr2PF, relaxed
# Electronic total energy   -4.55 eV/atom
# Distance to the lowest polymorph of the same formula   165 meV per atom
# M_tot   0.0000 μB per atom
# Energy relative to the elements, uncorrected   -1.89 eV per atom
# Space-group type   No. 225
data_Sr2PF
_chemical_formula_sum 'Sr8 P4 F4'
_cell_length_a 7.193
_cell_length_b 7.193
_cell_length_c 7.193
_cell_angle_alpha 90.00
_cell_angle_beta 90.00
_cell_angle_gamma 90.00
_symmetry_space_group_name_H-M 'P 1'
_symmetry_Int_Tables_number 1
loop_
_symmetry_equiv_pos_as_xyz
'x,y,z'
loop_
_atom_site_label
_atom_site_type_symbol
_atom_site_fract_x
_atom_site_fract_y
_atom_site_fract_z
_atom_site_occupancy
Sr1 Sr 0.250 0.250 0.250 1
Sr2 Sr 0.250 0.250 0.750 1
Sr3 Sr 0.250 0.750 0.250 1
Sr4 Sr 0.250 0.750 0.750 1
Sr5 Sr 0.750 0.250 0.250 1
Sr6 Sr 0.750 0.250 0.750 1
Sr7 Sr 0.750 0.750 0.250 1
Sr8 Sr 0.750 0.750 0.750 1
P1 P 0.000 0.000 0.000 1
P2 P 0.000 0.500 0.500 1
P3 P 0.500 0.000 0.500 1
P4 P 0.500 0.500 0.000 1
F1 F 0.000 0.000 0.500 1
F2 F 0.000 0.500 0.000 1
F3 F 0.500 0.000 0.000 1
F4 F 0.500 0.500 0.500 1


# 8
# PBE Sr2PF, relaxed
# Electronic total energy   -4.66 eV/atom
# Distance to the lowest polymorph of the same formula   50 meV per atom
# M_tot   0.0000 μB per atom
# Energy relative to the elements, uncorrected   -2.00 eV per atom
# Space-group type   No. 166
data_Sr2PF
_chemical_formula_sum 'Sr6 P3 F3'
_cell_length_a 4.314
_cell_length_b 4.314
_cell_length_c 19.028
_cell_angle_alpha 90.00
_cell_angle_beta 90.00
_cell_angle_gamma 120.00
_symmetry_space_group_name_H-M 'P 1'
_symmetry_Int_Tables_number 1
loop_
_symmetry_equiv_pos_as_xyz
'x,y,z'
loop_
_atom_site_label
_atom_site_type_symbol
_atom_site_fract_x
_atom_site_fract_y
_atom_site_fract_z
_atom_site_occupancy
Sr1 Sr 0.000 0.000 0.250 1
Sr2 Sr 0.000 0.000 0.750 1
Sr3 Sr 0.333 0.667 0.416 1
Sr4 Sr 0.333 0.667 0.917 1
Sr5 Sr 0.667 0.333 0.083 1
Sr6 Sr 0.667 0.333 0.584 1
P1 P 0.000 0.000 0.500 1
P2 P 0.333 0.667 0.167 1
P3 P 0.667 0.333 0.833 1
F1 F 0.000 0.000 0.000 1
F2 F 0.333 0.667 0.667 1
F3 F 0.667 0.333 0.333 1


# 9
# PBE Sr12P3F5, relaxed
# Electronic total energy   -3.93 eV/atom
# M_tot   0.0000 μB per atom
# Energy relative to the elements, uncorrected   -1.64 eV per atom
# Space-group type   No. 230
data_Sr12P3F5
_chemical_formula_sum 'Sr48 P12 F20'
_cell_length_a 14.559
_cell_length_b 14.559
_cell_length_c 14.559
_cell_angle_alpha 109.47
_cell_angle_beta 109.47
_cell_angle_gamma 109.47
_symmetry_space_group_name_H-M 'P 1'
_symmetry_Int_Tables_number 1
loop_
_symmetry_equiv_pos_as_xyz
'x,y,z'
loop_
_atom_site_label
_atom_site_type_symbol
_atom_site_fract_x
_atom_site_fract_y
_atom_site_fract_z
_atom_site_occupancy
Sr1 Sr 0.029 0.217 0.124 1
Sr2 Sr 0.029 0.312 0.905 1
Sr3 Sr 0.093 0.717 0.688 1
Sr4 Sr 0.093 0.876 0.405 1
Sr5 Sr 0.095 0.624 0.407 1
Sr6 Sr 0.095 0.971 0.688 1
Sr7 Sr 0.124 0.029 0.217 1
Sr8 Sr 0.124 0.595 0.907 1
Sr9 Sr 0.188 0.217 0.593 1
Sr10 Sr 0.188 0.471 0.595 1
Sr11 Sr 0.217 0.124 0.029 1
Sr12 Sr 0.217 0.593 0.188 1
Sr13 Sr 0.283 0.312 0.907 1
Sr14 Sr 0.283 0.471 0.376 1
Sr15 Sr 0.312 0.905 0.029 1
Sr16 Sr 0.312 0.907 0.283 1
Sr17 Sr 0.376 0.283 0.471 1
Sr18 Sr 0.376 0.593 0.905 1
Sr19 Sr 0.405 0.093 0.876 1
Sr20 Sr 0.405 0.812 0.529 1
Sr21 Sr 0.407 0.095 0.624 1
Sr22 Sr 0.407 0.812 0.783 1
Sr23 Sr 0.471 0.376 0.283 1
Sr24 Sr 0.471 0.595 0.188 1
Sr25 Sr 0.529 0.405 0.812 1
Sr26 Sr 0.529 0.624 0.717 1
Sr27 Sr 0.593 0.188 0.217 1
Sr28 Sr 0.593 0.905 0.376 1
Sr29 Sr 0.595 0.188 0.471 1
Sr30 Sr 0.595 0.907 0.124 1
Sr31 Sr 0.624 0.407 0.095 1
Sr32 Sr 0.624 0.717 0.529 1
Sr33 Sr 0.688 0.093 0.717 1
Sr34 Sr 0.688 0.095 0.971 1
Sr35 Sr 0.717 0.529 0.624 1
Sr36 Sr 0.717 0.688 0.093 1
Sr37 Sr 0.783 0.407 0.812 1
Sr38 Sr 0.783 0.876 0.971 1
Sr39 Sr 0.812 0.529 0.405 1
Sr40 Sr 0.812 0.783 0.407 1
Sr41 Sr 0.876 0.405 0.093 1
Sr42 Sr 0.876 0.971 0.783 1
Sr43 Sr 0.905 0.029 0.312 1
Sr44 Sr 0.905 0.376 0.593 1
Sr45 Sr 0.907 0.124 0.595 1
Sr46 Sr 0.907 0.283 0.312 1
Sr47 Sr 0.971 0.688 0.095 1
Sr48 Sr 0.971 0.783 0.876 1
P1 P 0.125 0.250 0.375 1
P2 P 0.125 0.375 0.750 1
P3 P 0.250 0.375 0.125 1
P4 P 0.250 0.875 0.625 1
P5 P 0.375 0.125 0.250 1
P6 P 0.375 0.750 0.125 1
P7 P 0.625 0.250 0.875 1
P8 P 0.625 0.875 0.750 1
P9 P 0.750 0.125 0.375 1
P10 P 0.750 0.625 0.875 1
P11 P 0.875 0.625 0.250 1
P12 P 0.875 0.750 0.625 1
F1 F 0.000 0.000 0.000 1
F2 F 0.000 0.000 0.500 1
F3 F 0.000 0.500 0.000 1
F4 F 0.000 0.500 0.500 1
F5 F 0.125 0.750 0.875 1
F6 F 0.125 0.875 0.250 1
F7 F 0.250 0.125 0.875 1
F8 F 0.250 0.625 0.375 1
F9 F 0.375 0.250 0.625 1
F10 F 0.375 0.625 0.750 1
F11 F 0.500 0.000 0.000 1
F12 F 0.500 0.000 0.500 1
F13 F 0.500 0.500 0.000 1
F14 F 0.500 0.500 0.500 1
F15 F 0.625 0.375 0.250 1
F16 F 0.625 0.750 0.375 1
F17 F 0.750 0.375 0.625 1
F18 F 0.750 0.875 0.125 1
F19 F 0.875 0.125 0.750 1
F20 F 0.875 0.250 0.125 1